1.
# Li3LaDy2Se6 GGA-PBE relaxed
# Spin magnetization in Bohr magnetons per cell: 0.0
# N(E_F) in states/eV per cell: 0.0
# Raw total energy in eV/atom: -5.1017
data_Li3LaDy2Se6
_chemical_formula_sum 'Li6 La2 Dy4 Se12'
_cell_length_a 7.1849
_cell_length_b 12.4550
_cell_length_c 6.9249
_cell_angle_alpha 90.00
_cell_angle_beta 110.12
_cell_angle_gamma 90.00
_symmetry_space_group_name_H-M 'C 1 2/m 1'
_symmetry_Int_Tables_number 12
loop_
_symmetry_equiv_pos_as_xyz
'x,y,z'
'-x,-y,-z'
'-x,y,-z'
'x,-y,z'
'x+1/2,y+1/2,z'
'-x+1/2,-y+1/2,-z'
'-x+1/2,y+1/2,-z'
'x+1/2,-y+1/2,z'
loop_
_atom_site_label
_atom_site_fract_x
_atom_site_fract_y
_atom_site_fract_z
Li1 0.0000 0.0000 0.0000
Li2 0.0000 0.3295 0.0000
La1 0.0000 0.5000 0.5000
Dy1 0.0000 0.1664 0.5000
Se1 0.2398 0.0000 0.7569
Se2 0.2431 0.1727 0.2456

2.
# AlP2Pb GGA-PBE relaxed
# Energy relative to the elements in eV/f.u.: 1.064
# Spin magnetization in Bohr magnetons per cell: 0.0
# N(E_F) in states/eV per cell: 3.6
data_AlP2Pb
_chemical_formula_sum 'Al2 P4 Pb2'
_cell_length_a 3.3074
_cell_length_b 5.4864
_cell_length_c 9.0752
_cell_angle_alpha 90.00
_cell_angle_beta 90.00
_cell_angle_gamma 90.00
_symmetry_space_group_name_H-M 'I m m 2'
_symmetry_Int_Tables_number 44
loop_
_symmetry_equiv_pos_as_xyz
'x,y,z'
'-x,-y,z'
'-x,y,z'
'x,-y,z'
'x+1/2,y+1/2,z+1/2'
'-x+1/2,-y+1/2,z+1/2'
'-x+1/2,y+1/2,z+1/2'
'x+1/2,-y+1/2,z+1/2'
loop_
_atom_site_label
_atom_site_fract_x
_atom_site_fract_y
_atom_site_fract_z
Al1 0.0000 0.0000 0.0000
P1 0.0000 0.0000 0.4021
P2 0.0000 0.5000 0.7284
Pb1 0.0000 0.5000 0.2072

3.
# Ni2RhCl GGA-PBE relaxed
# Spin magnetization in Bohr magnetons per cell: 6.1
# N(E_F) in states/eV per cell: 22.3
# Raw total energy in eV/atom: -4.9214
data_Ni2RhCl
_chemical_formula_sum 'Ni6 Rh3 Cl3'
_cell_length_a 2.8729
_cell_length_b 2.8729
_cell_length_c 22.7804
_cell_angle_alpha 90.00
_cell_angle_beta 90.00
_cell_angle_gamma 120.00
_symmetry_space_group_name_H-M 'R -3 m'
_symmetry_Int_Tables_number 166
_symmetry_space_group_name_Hall '-R 3 2"'
loop_
_atom_site_label
_atom_site_fract_x
_atom_site_fract_y
_atom_site_fract_z
Ni1 0.0000 0.0000 0.2471
Rh1 0.0000 0.0000 0.0000
Cl1 0.0000 0.0000 0.5000

4.
# RbSb12Ir4 GGA-PBE relaxed
# Spin magnetization in Bohr magnetons per cell: 0.0
# N(E_F) in states/eV per cell: 10.9
# Raw total energy in eV/atom: -5.4012
data_RbSb12Ir4
_chemical_formula_sum 'Rb2 Sb24 Ir8'
_cell_length_a 9.4769
_cell_length_b 9.4769
_cell_length_c 9.4769
_cell_angle_alpha 90.00
_cell_angle_beta 90.00
_cell_angle_gamma 90.00
_symmetry_space_group_name_H-M 'I m -3'
_symmetry_Int_Tables_number 204
_symmetry_space_group_name_Hall '-I 2 2 3'
loop_
_atom_site_label
_atom_site_fract_x
_atom_site_fract_y
_atom_site_fract_z
Rb1 0.0000 0.0000 0.0000
Sb1 0.0000 0.3430 0.1564
Ir1 0.2500 0.2500 0.2500